{
  "formula": "Pm2CoSO8",
  "functional": "PBE with a Hubbard U",
  "state": "relaxed",
  "lattice_angstrom": [[-0.292, 4.670, -2.335], [-3.308, -1.201, 3.868], [3.908, 2.268, 4.047]],
  "species": ["Pm", "Pm", "Co", "S", "O", "O", "O", "O", "O", "O", "O", "O"],
  "frac_coords": [[0.667, 0.333, 0.152], [0.333, 0.667, 0.848], [0.000, 0.000, 0.500], [0.000, 0.000, 0.000], [0.850, 0.700, 0.838], [0.300, 0.150, 0.838], [0.850, 0.150, 0.838], [0.150, 0.300, 0.162], [0.700, 0.850, 0.162], [0.150, 0.850, 0.162], [0.667, 0.333, 0.514], [0.333, 0.667, 0.486]],
  "energy_ev_per_atom": -6.3000
}